No. 1
12
Lattice="11.569 0.000 0.000 0.000 6.214 -0.291 0.000 -2.860 5.524" Properties=species:S:1:pos:R:3 comment="PBE Sm3Dy2Er, relaxed" magmom_total_mub_per_fu=0.0 n_ef_per_ev_cell=14.20 space_group="Cmcm, No. 63" relative_energy_kcal_per_mol_atoms=0.000 crystal_system=orthorhombic formation_enthalpy_0k_ev_per_atom=-0.006 pbc="T T T"
Sm 5.434 -1.355 4.553
Sm 11.218 -1.350 4.561
Sm 5.433 1.674 2.612
Sm 11.218 1.679 2.620
Sm 11.218 4.708 0.680
Sm 5.434 4.703 0.671
Dy 8.325 -0.393 2.718
Dy 2.541 0.720 4.455
Dy 2.541 3.746 2.515
Dy 8.325 2.634 0.778
Er 8.326 2.796 4.363
Er 2.542 0.557 0.870

No. 2
8
Lattice="-3.813 -3.717 -0.261 0.212 -3.777 -3.758 3.405 -7.601 4.048" Properties=species:S:1:pos:R:3 comment="PBE LaDyTm2Cd4, relaxed" magmom_total_mub_per_fu=0.0 n_ef_per_ev_cell=8.31 space_group="R-3m, No. 166" crystal_system=trigonal formation_enthalpy_0k_ev_per_atom=-0.305 pbc="T T T"
La 0.000 0.000 0.000
Dy -0.098 -7.547 0.014
Tm -0.162 -11.305 0.004
Tm -0.034 -3.790 0.024
Cd 1.586 -9.414 1.985
Cd -1.845 -9.440 -1.964
Cd 1.648 -5.654 1.993
Cd -1.783 -5.681 -1.956

No. 3
4
Lattice="0.000 3.520 3.520 3.520 0.000 3.520 3.520 3.520 0.000" Properties=species:S:1:pos:R:3 comment="PBE TeMoCl2, relaxed" magmom_total_mub_per_fu=2.1 n_ef_per_ev_cell=2.26 space_group="Fm-3m, No. 225" relative_energy_kcal_per_mol_atoms=26.450 crystal_system=cubic pbc="T T T"
Mo 0.000 0.000 0.000
Te 3.520 3.520 3.520
Cl 1.760 1.760 1.760
Cl 5.280 5.280 5.280

No. 4
12
Lattice="6.528 0.000 0.000 0.000 6.402 0.000 -3.264 -3.201 5.592" Properties=species:S:1:pos:R:3 comment="PBE Nb3ZnGa2, relaxed" magmom_total_mub_per_fu=0.0 n_ef_per_ev_cell=6.23 space_group="Ibam, No. 72" crystal_system=orthorhombic formation_enthalpy_0k_ev_per_atom=0.334 pbc="T T T"
Nb 3.264 1.601 0.000
Nb 3.264 4.802 0.000
Nb 3.264 -1.601 3.056
Nb 0.000 1.601 2.535
Nb 0.000 4.802 2.535
Nb 3.264 1.601 3.056
Zn 0.000 3.201 0.000
Zn 0.000 0.000 0.000
Ga 1.418 0.000 4.050
Ga 4.682 0.000 1.542
Ga -1.418 3.201 4.050
Ga 1.846 3.201 1.542

No. 5
6
Lattice="4.886 0.000 0.000 2.443 4.231 0.000 2.443 1.410 9.161" Properties=species:S:1:pos:R:3 comment="PBE NaErSb, relaxed" magmom_total_mub_per_fu=0.0 n_ef_per_ev_cell=3.98 space_group="R-3m, No. 166" crystal_system=trigonal final_energy_ev_per_atom=-3.712 pbc="T T T"
Sb 4.886 2.821 2.379
Sb 4.886 2.821 6.782
Na 2.443 1.410 0.971
Na 7.328 4.231 8.190
Er 7.328 4.231 3.465
Er 2.443 1.410 5.696